No. 1
A geometry-optimized SmThSc2 structure. Source: Alexandria via LeMat-Bulk, functional PBE-GGA.

a = 5.7732 Å, b = 5.7732 Å, c = 3.5260 Å
α = 90.00°, β = 90.00°, γ = 104.77°
With the nearest neighbours (Å) after each atom.
Sites, in units of the cell vectors:
Sm1 0.0000 0.0000 0.0000  8 Sc 3.38, 2 Th 3.52, 2 Sm 3.53
Th1 0.5000 0.5000 0.0000  8 Sc 3.38, 2 Sm 3.52, 2 Th 3.53
Sc1 0.0000 0.5000 0.5000  4 Th 3.38, 4 Sm 3.38, 4 Sc 3.52-3.53
Sc2 0.5000 0.0000 0.5000  4 Th 3.38, 4 Sm 3.38, 4 Sc 3.52-3.53

## Properties
Energy relative to the lowest polymorph listed for this composition ... 4 meV per atom
Energy ... -6.172 eV per atom
D(E_F) ... 4.69 states/eV/f.u.
Size of the total moment ... 0.000 μB/cell

---

No. 2
A geometry-optimized Sm2Th2Sc7 structure. Source: Alexandria via LeMat-Bulk, functional PBE-GGA.

a = 7.5794 Å, b = 7.5794 Å, c = 5.8724 Å
α = 106.51°, β = 106.51°, γ = 90.98°
With the nearest neighbours (Å) after each atom.
Sites, in units of the cell vectors:
Sm1 0.2048 0.7952 0.0000  6 Sc 3.17-3.33
Sm2 0.7952 0.2048 0.0000  6 Sc 3.17-3.33
Th1 0.3965 0.3965 0.6747  7 Sc 3.26-3.52, 2 Th 3.55-3.56
Th2 0.6035 0.6035 0.3253  7 Sc 3.26-3.52, 2 Th 3.55-3.56
Sc1 0.0000 0.0000 0.5000  6 Sc 3.08-3.30
Sc2 0.0691 0.5903 0.3303  5 Sc 3.08-3.36, 2 Sm 3.17-3.30, 1 Th 3.37
Sc3 0.2466 0.2466 0.0681  5 Sc 3.16-3.36, 3 Th 3.26-3.47, 2 Sm 3.33
Sc4 0.4097 0.9309 0.6697  5 Sc 3.08-3.36, 2 Sm 3.17-3.30, 1 Th 3.37
Sc5 0.5903 0.0691 0.3303  5 Sc 3.08-3.36, 2 Sm 3.17-3.30, 1 Th 3.37
Sc6 0.7534 0.7534 0.9319  5 Sc 3.16-3.36, 3 Th 3.26-3.47, 2 Sm 3.33
Sc7 0.9309 0.4097 0.6697  5 Sc 3.08-3.36, 2 Sm 3.17-3.30, 1 Th 3.37

## Properties
Energy ... -6.070 eV per atom
D(E_F) ... 20.41 states/eV/f.u.
Size of the total moment ... 0.000 μB/cell

---

No. 3
A geometry-optimized Sm5ThSc2 structure. Source: Alexandria via LeMat-Bulk, functional PBE-GGA.

a = 7.0613 Å, b = 14.1235 Å, c = 4.9752 Å
α = 90.00°, β = 90.00°, γ = 90.00°
With the nearest neighbours (Å) after each atom.
Sites, in units of the cell vectors:
Sm1 0.0000 0.0000 0.0000  6 Sm 3.52-3.54, 2 Th 3.53, 4 Sc 3.55
Sm2 0.0095 0.2507 0.0000  7 Sm 3.49-3.56, 1 Th 3.52, 4 Sc 3.53-3.56
Sm3 0.2490 0.8757 0.5000  4 Sc 3.45-3.62, 6 Sm 3.49-3.56, 2 Th 3.52
Sm4 0.2510 0.3757 0.5000  4 Sc 3.45-3.62, 6 Sm 3.49-3.56, 2 Th 3.52
Sm5 0.4905 0.7507 0.0000  7 Sm 3.49-3.56, 1 Th 3.52, 4 Sc 3.53-3.56
Sm6 0.5000 0.5000 0.0000  6 Sm 3.52-3.54, 2 Th 3.53, 4 Sc 3.55
Sm7 0.5095 0.2493 0.0000  7 Sm 3.49-3.56, 1 Th 3.52, 4 Sc 3.53-3.56
Sm8 0.7490 0.6243 0.5000  4 Sc 3.45-3.62, 6 Sm 3.49-3.56, 2 Th 3.52
Sm9 0.7510 0.1243 0.5000  4 Sc 3.45-3.62, 6 Sm 3.49-3.56, 2 Th 3.52
Sm10 0.9905 0.7493 0.0000  7 Sm 3.49-3.56, 1 Th 3.52, 4 Sc 3.53-3.56
Th1 0.0000 0.5000 0.0000  4 Sc 3.46, 8 Sm 3.52-3.53
Th2 0.5000 0.0000 0.0000  4 Sc 3.46, 8 Sm 3.52-3.53
Sc1 0.2371 0.6217 0.5000  10 Sm 3.45-3.62, 2 Th 3.46
Sc2 0.2629 0.1217 0.5000  10 Sm 3.45-3.62, 2 Th 3.46
Sc3 0.7371 0.8783 0.5000  10 Sm 3.45-3.62, 2 Th 3.46
Sc4 0.7629 0.3783 0.5000  10 Sm 3.45-3.62, 2 Th 3.46

## Properties
Energy ... -5.419 eV per atom
D(E_F) ... 9.85 states/eV/f.u.
Size of the total moment ... 0.000 μB/cell

---

No. 4
A geometry-optimized Sm3ThSc structure. Source: Alexandria via LeMat-Bulk, functional PBE-GGA.

a = 13.7112 Å, b = 13.7112 Å, c = 13.7112 Å
α = 158.89°, β = 48.34°, γ = 137.05°
With the nearest neighbours (Å) after each atom.
Sites, in units of the cell vectors:
Sm1 0.0216 0.8727 0.1489  5 Sm 3.52-3.63, 4 Th 3.54-3.57, 3 Sc 3.56-3.58
Sm2 0.1704 0.1254 0.0451  7 Sm 3.38-3.65, 5 Sc 3.40-3.56
Sm3 0.2238 0.8727 0.3511  5 Sm 3.52-3.63, 4 Th 3.54-3.57, 3 Sc 3.56-3.58
Sm4 0.2735 0.6230 0.6506  4 Th 3.53-3.56, 7 Sm 3.55-3.65, 1 Sc 3.60
Sm5 0.4197 0.8746 0.5451  7 Sm 3.38-3.65, 5 Sc 3.40-3.56
Sm6 0.4724 0.6230 0.8494  4 Th 3.53-3.56, 7 Sm 3.55-3.65, 1 Sc 3.60
Sm7 0.5276 0.3770 0.1506  4 Th 3.53-3.56, 7 Sm 3.55-3.65, 1 Sc 3.60
Sm8 0.5803 0.1254 0.4549  7 Sm 3.38-3.65, 5 Sc 3.40-3.56
Sm9 0.7265 0.3770 0.3494  4 Th 3.53-3.56, 7 Sm 3.55-3.65, 1 Sc 3.60
Sm10 0.7762 0.1273 0.6489  5 Sm 3.52-3.63, 4 Th 3.54-3.57, 3 Sc 3.56-3.58
Sm11 0.8296 0.8746 0.9549  7 Sm 3.38-3.65, 5 Sc 3.40-3.56
Sm12 0.9784 0.1273 0.8511  5 Sm 3.52-3.63, 4 Th 3.54-3.57, 3 Sc 3.56-3.58
Th1 0.1239 0.3739 0.7500  8 Sm 3.53-3.56, 4 Th 3.54-3.55
Th2 0.3738 0.1238 0.2500  8 Sm 3.54-3.57, 4 Th 3.55-3.57
Th3 0.6262 0.8762 0.7500  8 Sm 3.54-3.57, 4 Th 3.55-3.57
Th4 0.8761 0.6261 0.2500  8 Sm 3.53-3.56, 4 Th 3.54-3.55
Sc1 0.0788 0.6256 0.4532  9 Sm 3.40-3.60, 3 Sc 3.44-3.54
Sc2 0.3275 0.3744 0.9532  9 Sm 3.40-3.60, 3 Sc 3.44-3.54
Sc3 0.6725 0.6256 0.0468  9 Sm 3.40-3.60, 3 Sc 3.44-3.54
Sc4 0.9212 0.3744 0.5468  9 Sm 3.40-3.60, 3 Sc 3.44-3.54

## Properties
Energy ... -5.527 eV per atom
D(E_F) ... 7.25 states/eV/f.u.
Size of the total moment ... 0.000 μB/cell

---

No. 5
A geometry-optimized SmTh2Sc5 structure. Source: Alexandria via LeMat-Bulk, functional PBE-GGA.

a = 7.2445 Å, b = 7.2445 Å, c = 7.2445 Å
α = 138.06°, β = 101.15°, γ = 93.60°
With the nearest neighbours (Å) after each atom.
Sites, in units of the cell vectors:
Sm1 0.0000 0.0000 0.0000  4 Th 3.21
Th1 0.1904 0.6904 0.5000  7 Sc 3.07-3.30, 2 Sm 3.21
Th2 0.8096 0.3096 0.5000  7 Sc 3.07-3.30, 2 Sm 3.21
Sc1 0.1689 0.3313 0.8376  2 Sc 2.99-3.35, 3 Th 3.11-3.30
Sc2 0.4938 0.3313 0.1624  2 Sc 2.99-3.35, 3 Th 3.11-3.30
Sc3 0.5000 0.0000 0.5000  2 Th 3.07, 8 Sc 3.43
Sc4 0.5062 0.6687 0.8376  2 Sc 2.99-3.35, 3 Th 3.11-3.30
Sc5 0.8311 0.6687 0.1624  2 Sc 2.99-3.35, 3 Th 3.11-3.30

## Properties
Energy ... -6.023 eV per atom
D(E_F) ... 12.26 states/eV/f.u.
Size of the total moment ... 0.000 μB/cell

---

No. 6
A geometry-optimized SmTh4Sc8 structure. Source: Alexandria via LeMat-Bulk, functional PBE-GGA.

a = 9.2268 Å, b = 9.2268 Å, c = 9.2268 Å
α = 45.26°, β = 45.26°, γ = 45.26°
With the nearest neighbours (Å) after each atom.
Sites, in units of the cell vectors:
Sm1 0.0000 0.0000 0.0000  6 Sc 2.81
Th1 0.0000 0.0000 0.5000  6 Sc 3.45-3.50, 6 Th 3.55
Th2 0.0000 0.5000 0.0000  6 Sc 3.45-3.50, 6 Th 3.55
Th3 0.5000 0.0000 0.0000  6 Sc 3.45-3.50, 6 Th 3.55
Th4 0.5000 0.5000 0.5000  6 Sc 3.15
Sc1 0.2532 0.2532 0.6755  1 Sm 2.81, 2 Sc 3.00
Sc2 0.2532 0.6755 0.2532  1 Sm 2.81, 2 Sc 3.00
Sc3 0.2810 0.2810 0.2810  9 Sc 3.29-3.57, 3 Th 3.50
Sc4 0.3245 0.7468 0.7468  1 Sm 2.81, 2 Sc 3.00
Sc5 0.6755 0.2532 0.2532  1 Sm 2.81, 2 Sc 3.00
Sc6 0.7190 0.7190 0.7190  9 Sc 3.29-3.57, 3 Th 3.50
Sc7 0.7468 0.3245 0.7468  1 Sm 2.81, 2 Sc 3.00
Sc8 0.7468 0.7468 0.3245  1 Sm 2.81, 2 Sc 3.00

## Properties
Energy ... -6.312 eV per atom
D(E_F) ... 17.70 states/eV/f.u.
Size of the total moment ... 0.000 μB/cell